# 1
This record from Alexandria via LeMat-Bulk describes CrIr2Pb after structural relaxation. The functional is PBEsol.

a = 2.9368 Å, b = 4.6431 Å, c = 4.6942 Å
α = 90.00°, β = 90.00°, γ = 90.00°
Last column: nearest neighbours and their distance in Å.
Element x y z (fractional)
Cr  0.0000  0.5000  0.5000  4 Ir 2.75, 4 Pb 2.77, 2 Cr 2.94
Ir  0.0000  0.0000  0.0000  4 Pb 2.75, 6 Ir 2.77-2.94
Ir  0.5000  0.0000  0.5000  4 Cr 2.75, 6 Ir 2.77-2.94
Pb  0.5000  0.5000  0.0000  4 Ir 2.75, 4 Cr 2.77, 2 Pb 2.94

Properties
The calculation puts the total energy at -31.43 eV per cell. For the density of states at the Fermi level, the calculation gives 4.440 states/eV per cell. The calculation puts the formation energy at 0.61 eV/atom.

---

# 2
This record from Alexandria via LeMat-Bulk describes CoAsBr2 after structural relaxation. The functional is PBEsol.

a = 3.3946 Å, b = 3.5895 Å, c = 7.1750 Å
α = 103.36°, β = 90.00°, γ = 90.00°
Last column: nearest neighbours and their distance in Å.
Element x y z (fractional)
As  0.5000  0.2854  0.6635  2 Co 2.32
Co  0.0000  0.6615  0.5861  2 As 2.32, 3 Br 2.36-2.47
Br  0.0000  0.9395  0.9181  1 Co 2.36
Br  0.5000  0.6136  0.3324  2 Co 2.47

Properties
The calculation puts the total energy at -16.64 eV per cell. For the density of states at the Fermi level, the calculation gives 2.624 states/eV per cell.

---

# 3
This record from Alexandria via LeMat-Bulk describes TlCd2 after structural relaxation. The functional is PBEsol.

a = 3.2313 Å, b = 5.1032 Å, c = 5.1032 Å
α = 120.00°, β = 90.00°, γ = 90.00°
Last column: nearest neighbours and their distance in Å.
Element x y z (fractional)
Tl  0.0000  0.0000  0.0000  2 Tl 3.23, 12 Cd 3.36
Cd  0.5000  0.6667  0.3333  5 Cd 2.95-3.23
Cd  0.5000  0.3333  0.6667  5 Cd 2.95-3.23

Properties
The calculation puts the total energy at -4.77 eV per cell. For the density of states at the Fermi level, the calculation gives 1.396 states/eV per cell. The calculation puts the formation energy at 0.08 eV/atom.